Li21Fe4O16 after structural relaxation, computed with PBE+U.

Total moment in μB per atom: 0.4634
Calculated total energy in eV per cell: -214.975

Lattice parameters (Å, degrees): 6.5699 6.5699 9.4332 89.76 89.76 92.28
Atoms (fractional coordinates):
O 0.5118 0.7644 0.4119
O 0.7661 0.5003 0.6359
O 0.4997 0.2339 0.3641
O 0.2333 0.4765 0.0830
O 0.5024 0.2393 0.8617
O 0.7498 0.9950 0.1535
O 0.9776 0.7524 0.8898
O 0.0031 0.7374 0.3861
O 0.2476 0.0224 0.1102
O 0.2356 0.4882 0.5881
O 0.5235 0.7667 0.9170
O 0.0070 0.2641 0.3402
O 0.7359 0.9930 0.6598
O 0.0050 0.2502 0.8465
O 0.7607 0.4976 0.1383
O 0.2626 0.9969 0.6139
Li 0.7284 0.7199 0.2775
Li 0.4625 0.9483 0.7641
Li 0.4555 0.9551 0.2543
Li 0.0449 0.5445 0.7457
Li 0.2238 0.2196 0.4731
Li 0.5232 0.4768 0.5000
Li 0.5427 0.0341 0.5101
Li 0.0276 0.9808 0.2609
Li 0.2801 0.2716 0.7225
Li 0.5377 0.0332 0.0081
Li 0.9680 0.0320 0.0000
Li 0.7804 0.7762 0.5269
Li 0.0192 0.9724 0.7391
Li 0.5158 0.4842 0.0000
Li 0.7564 0.7499 0.0293
Li 0.2774 0.2763 0.2206
Li 0.9668 0.4623 0.9919
Li 0.0517 0.5375 0.2359
Li 0.2501 0.2436 0.9707
Li 0.7237 0.7226 0.7794
Li 0.9659 0.4573 0.4899
Fe 0.7443 0.2549 0.7480
Fe 0.7451 0.2557 0.2520
Fe 0.2448 0.7552 0.0000
Fe 0.2472 0.7528 0.5000